No. 1
VASP calculation (GGA-PBE) on a geometry-optimized RbCaBAu2 structure.

abc: 5.534 5.534 9.478
angles: 90.00 90.00 90.00
Space group P4/mmm (No. 123)
One atom of each set of equivalent atoms:
1 Rb 0.000 0.000 0.000 x1
2 Ca 0.000 0.000 0.500 x1
3 B 0.500 0.500 0.000 x1
4 Au 0.000 0.500 0.500 x2

Calculated values
Magnetization in μB per atom: 0.370
Calculated volume in A^3/atom: 58.06
Raw total energy in eV/atom: -2.09



No. 2
VASP calculation (GGA-PBE) on a geometry-optimized CaBRh2Au structure.

abc: 4.255 4.255 4.343
angles: 90.00 90.00 90.00
Space group P4/mmm (No. 123)
One atom of each set of equivalent atoms:
1 Ca 0.000 0.000 0.000 x1
2 B 0.500 0.500 0.500 x1
3 Rh 0.000 0.500 0.500 x2
4 Au 0.500 0.500 0.000 x1

Calculated values
Magnetization in μB per atom: 0.000
Calculated volume in A^3/atom: 15.72
Raw total energy in eV/atom: -5.76



No. 3
VASP calculation (GGA-PBE) on a geometry-optimized CaTaBAu2 structure.

abc: 4.520 4.520 4.413
angles: 90.00 90.00 90.00
Space group P4/mmm (No. 123)
One atom of each set of equivalent atoms:
1 Ca 0.000 0.000 0.000 x1
2 Ta 0.500 0.500 0.000 x1
3 B 0.500 0.500 0.500 x1
4 Au 0.000 0.500 0.500 x2

Calculated values
Magnetization in μB per atom: 0.105
Calculated volume in A^3/atom: 18.03
Raw total energy in eV/atom: -5.36



No. 4
VASP calculation (GGA-PBE) on a geometry-optimized CdB3Au structure.

abc: 4.287 4.287 4.287
angles: 90.00 90.00 90.00
Space group Pm-3m (No. 221)
One atom of each set of equivalent atoms:
1 Cd 0.000 0.000 0.000 x1
2 B 0.000 0.500 0.500 x3
3 Au 0.500 0.500 0.500 x1

Calculated values
Magnetization in μB per atom: 0.000
Offset from the most stable computed form in eV/f.u.: 0.00
Calculated volume in A^3/atom: 15.76
Raw total energy in eV/atom: -3.12



No. 5
VASP calculation (GGA-PBE) on a geometry-optimized CdBAu3 structure.

abc: 5.192 5.192 5.192
angles: 90.00 90.00 90.00
Space group Pm-3m (No. 221)
One atom of each set of equivalent atoms:
1 Cd 0.000 0.000 0.000 x1
2 B 0.500 0.500 0.500 x1
3 Au 0.000 0.000 0.500 x3

Calculated values
Magnetization in μB per atom: 0.000
Offset from the most stable computed form in eV/f.u.: 6.76
Calculated volume in A^3/atom: 27.99
Raw total energy in eV/atom: -1.94



No. 6
VASP calculation (GGA-PBE) on a geometry-optimized CdBAu3 structure.

abc: 4.439 4.439 4.439
angles: 90.00 90.00 90.00
Space group Pm-3m (No. 221)
One atom of each set of equivalent atoms:
1 Cd 0.000 0.000 0.000 x1
2 B 0.500 0.500 0.500 x1
3 Au 0.000 0.500 0.500 x3

Calculated values
Magnetization in μB per atom: 0.000
Offset from the most stable computed form in eV/f.u.: 0.00
Calculated volume in A^3/atom: 17.49
Raw total energy in eV/atom: -3.29